Entry from OQMD via LeMat-Bulk: CuAg after structural relaxation (PBE-GGA).

## Properties
The value obtained for the formation energy is 89 meV/atom.

a b c (Å): 4.730 4.828 7.276
angles (deg): 107.04 102.53 100.63
Fractional positions:
Ag1 0.874 0.786 0.278
Ag2 0.189 0.392 0.382
Ag3 0.500 0.000 0.500
Ag4 0.811 0.608 0.618
Ag5 0.126 0.214 0.722
Cu1 0.000 0.000 0.000
Cu2 0.290 0.609 0.089
Cu3 0.574 0.188 0.174
Cu4 0.426 0.812 0.826
Cu5 0.710 0.391 0.911